Entry 1:
First-principles (PBE-GGA) data for crystalline InCu3 at its relaxed geometry, as listed in the Alexandria database.

It has space group R-3m (No. 166, hexagonal axes), with a = 6.6321 Å, b = 6.6321 Å, c = 9.8978 Å, α = 90.00°, β = 90.00° and γ = 120.00°. The asymmetric unit holds In at (0.0000, 0.0000, 0.1600) and Cu at (0.0833, 0.5416, 0.2766).

The energy of formation comes out at 0.199 eV per atom.

***

Entry 2:
First-principles (PBE-GGA) data for crystalline Cs2RbInPd at its relaxed geometry, as listed in the Alexandria database.

It has space group P4/mmm (No. 123), with a = 6.953 Å, b = 6.953 Å, c = 5.408 Å, α = 90.00°, β = 90.00° and γ = 90.00°. The asymmetric unit holds Cs at (0.000, 0.500, 0.000), Rb at (0.000, 0.000, 0.500), In at (0.500, 0.500, 0.500) and Pd at (0.500, 0.500, 0.000).

The energy of formation comes out at -0.007 eV per atom.

***

Entry 3:
First-principles (PBE-GGA) data for crystalline Ag5Hg2Pd5 at its relaxed geometry, as listed in the Alexandria database.

It has space group C2/m (No. 12), with a = 12.100 Å, b = 4.167 Å, c = 9.126 Å, α = 90.00°, β = 115.80° and γ = 90.00°. The asymmetric unit holds Ag at (0.000, 0.000, 0.000), Ag at (0.090, 0.000, 0.753), Ag at (0.165, 0.000, 0.502), Hg at (0.084, 0.500, 0.248), Pd at (0.000, 0.500, 0.500), Pd at (0.168, 0.500, 0.999) and Pd at (0.250, 0.000, 0.247).

For the relative energy among the computed polymorphs, the calculation gives 3 meV/atom. The energy of formation comes out at -0.063 eV per atom.

***

Entry 4:
First-principles (PBE-GGA) data for crystalline BaScTi2Ge at its relaxed geometry, as listed in the Alexandria database.

It has space group P4/mmm (No. 123), with a = 4.987 Å, b = 4.987 Å, c = 5.338 Å, α = 90.00°, β = 90.00° and γ = 90.00°. The asymmetric unit holds Ba at (0.000, 0.000, 0.000), Sc at (0.500, 0.500, 0.500), Ti at (0.000, 0.500, 0.500) and Ge at (0.500, 0.500, 0.000).

The energy of formation comes out at 0.633 eV per atom.

***

Entry 5:
First-principles (PBE-GGA) data for crystalline K2PtBrN at its relaxed geometry, as listed in the Alexandria database.

It has space group P4/mmm (No. 123), with a = 6.286 Å, b = 6.286 Å, c = 3.722 Å, α = 90.00°, β = 90.00° and γ = 90.00°. The asymmetric unit holds K at (0.000, 0.500, 0.000), Pt at (0.000, 0.000, 0.000), Br at (0.500, 0.500, 0.500) and N at (0.000, 0.000, 0.500).

For the relative energy among the computed polymorphs, the calculation gives 96 meV/atom. Its uncorrected formation energy is -59.86 kJ/mol of atoms.

***

Entry 6:
First-principles (PBE-GGA) data for crystalline Cd2In2Pb at its relaxed geometry, as listed in the Alexandria database.

It has space group I4/mmm (No. 139), with a = 4.527 Å, b = 4.527 Å, c = 13.420 Å, α = 90.00°, β = 90.00° and γ = 90.00°. The asymmetric unit holds Cd at (0.000, 0.500, 0.250), In at (0.000, 0.000, 0.106) and Pb at (0.000, 0.000, 0.500).

For the relative energy among the computed polymorphs, the calculation gives 62 meV/atom. The energy of formation comes out at 0.093 eV per atom.

***

Quick rundown of magnetic moment, same order as above: 0.00, 0.00, 0.00, 0.24, 0.08, 0.00 μB/atom
Quick rundown of total DFT energy (no corrections), same order as above: -3.5574, -2.1284, -3.4654, -5.0990, -4.2672, -2.1098 eV per atom